--- w ---
Material: Y2Tl2Br
Method: DFT, PBE
State: relaxed

## Properties
Calculated volume ... 304.8 Å³/cell

Cell lengths 4.302, 4.302, 16.473 Å; angles 90.00, 90.00, 90.00 degrees
Space group I4/mmm (No. 139)
Inequivalent atoms, fractional coordinates:
Y: 0.000 0.000 0.107 x4
Tl: 0.000 0.500 0.250 x4
Br: 0.000 0.000 0.500 x2

--- x ---
Material: Y2Tl2Br
Method: DFT, PBE
State: relaxed

## Properties
Calculated volume ... 286.6 Å³/cell

Cell lengths 7.730, 7.730, 4.796 Å; angles 90.00, 90.00, 90.00 degrees
Space group P4/mbm (No. 127)
Inequivalent atoms, fractional coordinates:
Y: 0.162 0.338 0.000 x4
Tl: 0.143 0.643 0.500 x4
Br: 0.000 0.000 0.000 x2

Of them, the most stable is x and the least stable is w.

--- w ---
Material: TlZn2Br2
Method: DFT, PBE
State: relaxed

## Properties
Calculated volume ... 268.5 Å³/cell

Cell lengths 3.800, 3.800, 18.589 Å; angles 90.00, 90.00, 90.00 degrees
Space group I4/mmm (No. 139)
Inequivalent atoms, fractional coordinates:
Tl: 0.000 0.000 0.000 x2
Zn: 0.000 0.500 0.250 x4
Br: 0.000 0.000 0.389 x4

--- x ---
Material: TlZn2Br2
Method: DFT, PBE
State: relaxed

## Properties
Calculated volume ... 342.3 Å³/cell

Cell lengths 9.571, 9.571, 3.737 Å; angles 90.00, 90.00, 90.00 degrees
Space group P4/mbm (No. 127)
Inequivalent atoms, fractional coordinates:
Tl: 0.000 0.000 0.000 x2
Zn: 0.088 0.412 0.500 x4
Br: 0.214 0.286 0.000 x4

--- y ---
Material: TlZn2Br2
Method: DFT, PBE
State: relaxed

## Properties
Calculated volume ... 277.5 Å³/cell

Cell lengths 5.771, 5.771, 8.333 Å; angles 90.00, 90.00, 90.00 degrees
Space group I4/mmm (No. 139)
Inequivalent atoms, fractional coordinates:
Tl: 0.000 0.000 0.000 x2
Zn: 0.000 0.000 0.354 x4
Br: 0.000 0.500 0.250 x4

Of them, the most stable is w and the least stable is x.

--- w ---
Material: TlZnBr
Method: DFT, PBE
State: relaxed

## Properties
Calculated volume ... 343.5 Å³/cell

Cell lengths 5.402, 5.477, 11.611 Å; angles 90.00, 90.00, 90.00 degrees
Space group Fmm2 (No. 42)
Inequivalent atoms, fractional coordinates:
Tl: 0.000 0.000 0.000 x4
Zn: 0.000 0.000 0.332 x4
Br: 0.000 0.000 0.689 x4

--- x ---
Material: TlZnBr
Method: DFT, PBE
State: relaxed

## Properties
Calculated volume ... 395.8 Å³/cell

Cell lengths 7.342, 7.342, 7.342 Å; angles 90.00, 90.00, 90.00 degrees
Space group F-43m (No. 216)
Inequivalent atoms, fractional coordinates:
Tl: 0.000 0.000 0.000 x4
Zn: 0.250 0.250 0.250 x4
Br: 0.000 0.000 0.500 x4

--- y ---
Material: TlZnBr
Method: DFT, PBE
State: relaxed

## Properties
Calculated volume ... 94.2 Å³/cell

Cell lengths 4.6119, 4.6119, 5.1155 Å; angles 90.00, 90.00, 120.00 degrees
Space group P3m1 (No. 156)
Inequivalent atoms, fractional coordinates:
Tl: 0.0000 0.0000 0.0000 x1
Zn: 0.6667 0.3333 0.3015 x1
Br: 0.3333 0.6667 0.6005 x1

Of them, the most stable is y and the least stable is x.

--- w ---
Material: Tl2ZnBr4
Method: DFT, PBE
State: relaxed

## Properties
Calculated volume ... 496.0 Å³/cell

Cell lengths 7.449, 7.569, 9.285 Å; angles 90.00, 108.65, 90.00 degrees
Space group P2_1/m (No. 11)
Inequivalent atoms, fractional coordinates:
Tl: 0.221 0.250 0.050 x2
Tl: 0.266 0.250 0.570 x2
Zn: 0.219 0.750 0.794 x2
Br: 0.001 0.002 0.731 x4
Br: 0.396 0.750 0.064 x2
Br: 0.419 0.750 0.633 x2

--- x ---
Material: Tl2ZnBr4
Method: DFT, PBE
State: relaxed

## Properties
Calculated volume ... 493.1 Å³/cell

Cell lengths 4.964, 4.964, 20.010 Å; angles 90.00, 90.00, 90.00 degrees
Space group I4/mmm (No. 139)
Inequivalent atoms, fractional coordinates:
Tl: 0.000 0.000 0.167 x4
Zn: 0.000 0.000 0.000 x2
Br: 0.000 0.000 0.315 x4
Br: 0.000 0.500 0.000 x4

Of them, the most stable is w and the least stable is x.

--- w ---
Material: TlZn3Br
Method: DFT, PBE
State: relaxed

## Properties
Calculated volume ... 142.3 Å³/cell

Cell lengths 5.221, 5.221, 5.221 Å; angles 90.00, 90.00, 90.00 degrees
Space group Pm-3m (No. 221)
Inequivalent atoms, fractional coordinates:
Tl: 0.000 0.000 0.000 x1
Zn: 0.000 0.000 0.500 x3
Br: 0.500 0.500 0.500 x1

--- x ---
Material: TlZn3Br
Method: DFT, PBE
State: relaxed

## Properties
Calculated volume ... 162.5 Å³/cell

Cell lengths 5.457, 5.457, 5.457 Å; angles 90.00, 90.00, 90.00 degrees
Space group Pm-3m (No. 221)
Inequivalent atoms, fractional coordinates:
Tl: 0.000 0.000 0.000 x1
Zn: 0.000 0.500 0.500 x3
Br: 0.500 0.500 0.500 x1

Of them, the most stable is w and the least stable is x.

--- w ---
Material: Zr2TlBr
Method: DFT, PBE
State: relaxed

## Properties
Calculated volume ... 392.3 Å³/cell

Cell lengths 7.320, 7.320, 7.320 Å; angles 90.00, 90.00, 90.00 degrees
Space group F-43m (No. 216)
Inequivalent atoms, fractional coordinates:
Zr: 0.000 0.000 0.000 x4
Zr: 0.250 0.250 0.250 x4
Tl: 0.250 0.250 0.750 x4
Br: 0.000 0.000 0.500 x4

--- x ---
Material: Zr2TlBr
Method: DFT, PBE
State: relaxed

## Properties
Calculated volume ... 184.5 Å³/cell

Cell lengths 10.622, 3.293, 5.350 Å; angles 90.00, 99.67, 90.00 degrees
Space group Cm (No. 8)
Inequivalent atoms, fractional coordinates:
Zr: 0.000 0.000 0.000 x2
Zr: 0.235 0.000 0.649 x2
Tl: 0.246 0.500 0.154 x2
Br: 0.009 0.500 0.572 x2

Of them, the most stable is x and the least stable is w.

--- w ---
Material: Zr2TlBr
Method: DFT, PBE
State: relaxed

## Properties
Calculated volume ... 189.0 Å³/cell

Cell lengths 3.288, 5.804, 9.902 Å; angles 90.00, 90.00, 90.00 degrees
Space group Cmmm (No. 65)
Inequivalent atoms, fractional coordinates:
Zr: 0.000 0.000 0.238 x4
Tl: 0.000 0.500 0.500 x2
Br: 0.000 0.500 0.000 x2

--- x ---
Material: Zr2TlBr
Method: DFT, PBE
State: relaxed

## Properties
Calculated volume ... 187.1 Å³/cell

Cell lengths 4.266, 4.266, 10.280 Å; angles 90.00, 90.00, 90.00 degrees
Space group I-4m2 (No. 119)
Inequivalent atoms, fractional coordinates:
Zr: 0.000 0.000 0.000 x2
Zr: 0.000 0.500 0.250 x2
Tl: 0.000 0.000 0.500 x2
Br: 0.000 0.500 0.750 x2

Of them, the most stable is w and the least stable is x.

--- w ---
Material: Zr2TlBr
Method: DFT, PBE
State: relaxed

## Properties
Calculated volume ... 189.1 Å³/cell

Cell lengths 3.253, 5.854, 9.930 Å; angles 90.00, 90.00, 90.00 degrees
Space group Immm (No. 71)
Inequivalent atoms, fractional coordinates:
Zr: 0.000 0.000 0.233 x4
Tl: 0.000 0.500 0.000 x2
Br: 0.000 0.500 0.500 x2

--- x ---
Material: Zr2TlBr
Method: DFT, PBE
State: relaxed

## Properties
Calculated volume ... 219.8 Å³/cell

Cell lengths 4.048, 5.080, 10.690 Å; angles 90.00, 90.00, 90.00 degrees
Space group Cmm2 (No. 35)
Inequivalent atoms, fractional coordinates:
Zr: 0.000 0.000 0.000 x2
Zr: 0.000 0.500 0.210 x2
Tl: 0.000 0.000 0.446 x2
Br: 0.000 0.500 0.820 x2

--- y ---
Material: Zr2TlBr
Method: DFT, PBE
State: relaxed

## Properties
Calculated volume ... 95.2 Å³/cell

Cell lengths 3.273, 5.150, 5.872 Å; angles 90.00, 105.94, 90.00 degrees
Space group Pm (No. 6)
Inequivalent atoms, fractional coordinates:
Zr: 0.000 0.000 0.000 x1
Zr: 0.344 0.500 0.691 x1
Tl: 0.736 0.000 0.483 x1
Br: 0.040 0.500 0.088 x1

--- z ---
Material: Zr2TlBr
Method: DFT, PBE
State: relaxed

## Properties
Calculated volume ... 406.7 Å³/cell

Cell lengths 4.406, 4.406, 20.947 Å; angles 90.00, 90.00, 90.00 degrees
Space group I-42d (No. 122)
Inequivalent atoms, fractional coordinates:
Zr: 0.246 0.250 0.125 x8
Tl: 0.000 0.000 0.000 x4
Br: 0.000 0.000 0.500 x4

Of them, the most stable is x and the least stable is z.

--- w ---
Material: ZrTlBr2
Method: DFT, PBE
State: relaxed

## Properties
Calculated volume ... 206.8 Å³/cell

Cell lengths 6.839, 9.967, 3.487 Å; angles 90.00, 119.52, 90.00 degrees
Space group C2/m (No. 12)
Inequivalent atoms, fractional coordinates:
Zr: 0.000 0.000 0.000 x2
Tl: 0.000 0.500 0.000 x2
Br: 0.250 0.250 0.000 x4

--- x ---
Material: ZrTlBr2
Method: DFT, PBE
State: relaxed

## Properties
Calculated volume ... 103.9 Å³/cell

Cell lengths 3.534, 3.534, 8.321 Å; angles 90.00, 90.00, 90.00 degrees
Space group P4mm (No. 99)
Inequivalent atoms, fractional coordinates:
Zr: 0.000 0.000 0.000 x1
Tl: 0.500 0.500 0.756 x1
Br: 0.000 0.000 0.522 x1
Br: 0.500 0.500 0.174 x1

Of them, the most stable is x and the least stable is w.

--- w ---
Material: ZrTlBr2
Method: DFT, PBE
State: relaxed

## Properties
Calculated volume ... 198.8 Å³/cell

Cell lengths 4.772, 4.772, 8.731 Å; angles 90.00, 90.00, 90.00 degrees
Space group I4/mmm (No. 139)
Inequivalent atoms, fractional coordinates:
Zr: 0.000 0.000 0.000 x2
Tl: 0.000 0.000 0.500 x2
Br: 0.000 0.500 0.250 x4

--- x ---
Material: ZrTlBr2
Method: DFT, PBE
State: relaxed

## Properties
Calculated volume ... 212.6 Å³/cell

Cell lengths 7.792, 7.823, 3.487 Å; angles 90.00, 90.00, 90.00 degrees
Space group Cmmm (No. 65)
Inequivalent atoms, fractional coordinates:
Zr: 0.000 0.000 0.000 x2
Tl: 0.000 0.500 0.000 x2
Br: 0.250 0.250 0.500 x4

--- y ---
Material: ZrTlBr2
Method: DFT, PBE
State: relaxed

## Properties
Calculated volume ... 329.2 Å³/cell

Cell lengths 3.5896, 3.5896, 29.5037 Å; angles 90.00, 90.00, 120.00 degrees
Space group R3m (No. 160, hexagonal axes)
Inequivalent atoms, fractional coordinates:
Zr: 0.0000 0.0000 0.0000 x3
Tl: 0.0000 0.0000 0.7477 x3
Br: 0.0000 0.0000 0.2714 x3
Br: 0.0000 0.0000 0.4856 x3

Of them, the most stable is y and the least stable is w.

--- w ---
Material: ZrTlBr2
Method: DFT, PBE
State: relaxed

## Properties
Calculated volume ... 223.1 Å³/cell

Cell lengths 5.215, 3.513, 12.181 Å; angles 90.00, 90.00, 90.00 degrees
Space group Amm2 (No. 38)
Inequivalent atoms, fractional coordinates:
Zr: 0.000 0.000 0.000 x2
Tl: 0.500 0.000 0.374 x2
Br: 0.000 0.000 0.675 x2
Br: 0.500 0.000 0.081 x2

--- x ---
Material: ZrTlBr2
Method: DFT, PBE
State: relaxed

## Properties
Calculated volume ... 398.5 Å³/cell

Cell lengths 7.359, 7.359, 7.359 Å; angles 90.00, 90.00, 90.00 degrees
Space group Fm-3m (No. 225)
Inequivalent atoms, fractional coordinates:
Zr: 0.000 0.000 0.000 x4
Tl: 0.000 0.000 0.500 x4
Br: 0.250 0.250 0.250 x8

--- y ---
Material: ZrTlBr2
Method: DFT, PBE
State: relaxed

## Properties
Calculated volume ... 248.8 Å³/cell

Cell lengths 3.383, 4.530, 16.236 Å; angles 90.00, 90.00, 90.00 degrees
Space group Imm2 (No. 44)
Inequivalent atoms, fractional coordinates:
Zr: 0.000 0.000 0.000 x2
Tl: 0.000 0.500 0.305 x2
Br: 0.000 0.000 0.453 x2
Br: 0.000 0.500 0.631 x2

--- z ---
Material: ZrTlBr2
Method: DFT, PBE
State: relaxed

## Properties
Calculated volume ... 274.4 Å³/cell

Cell lengths 11.678, 3.429, 7.651 Å; angles 90.00, 116.38, 90.00 degrees
Space group Cm (No. 8)
Inequivalent atoms, fractional coordinates:
Zr: 0.000 0.000 0.000 x2
Tl: 0.228 0.500 0.989 x2
Br: 0.041 0.500 0.301 x2
Br: 0.389 0.000 0.692 x2

Of them, the most stable is z and the least stable is x.